Ho3ErLu2Sb2Os PBE optimized geometry; final energy = -5.843 eV per atom; total magnetization = 0.02 μB/cell
1.0
-0.765 -2.223 3.449
-2.521 -6.212 -4.563
7.815 0.555 2.092
Ho Lu Er Sb Os
3 2 1 2 1
direct
0.500 0.000 0.761 Ho
0.500 0.240 0.240 Ho
0.500 0.761 0.000 Ho
0.000 0.999 0.388 Lu
0.000 0.388 0.999 Lu
0.000 0.609 0.609 Er
0.500 0.666 0.332 Sb
0.500 0.332 0.666 Sb
0.000 0.003 0.003 Os